<i>
{"formula": "LaSiSn3", "functional": "PBE", "state": "optimized geometry", "cell": [[-2.1190, -0.3665, -5.5631], [4.9718, -2.8171, -1.7081], [-2.5226, -5.2443, 1.3064]], "species": ["Sn", "Sn", "Sn", "La", "Si"], "frac_coords": [[0.5000, 0.0000, 0.0000], [0.0000, 0.0000, 0.5000], [0.0000, 0.5000, 0.0000], [0.0000, 0.0000, 0.0000], [0.5000, 0.5000, 0.5000]], "sg": "Pm-3m, No. 221", "volume_a3_per_atom": 42.4}

<ii>
{"formula": "LaSiSn3", "functional": "PBE", "state": "optimized geometry", "cell": [[5.2554, 0.0000, 0.0000], [0.0000, 5.2554, 0.0000], [0.0000, 0.0000, 5.2554]], "species": ["Sn", "Sn", "Sn", "Si", "La"], "frac_coords": [[0.0000, 0.5000, 0.0000], [0.5000, 0.0000, 0.0000], [0.0000, 0.0000, 0.5000], [0.0000, 0.0000, 0.0000], [0.5000, 0.5000, 0.5000]], "sg": "Pm-3m, No. 221", "volume_a3_per_atom": 29.0}

Stability ranking, top entry: <ii>; the second entry is 1.037 eV/atom less favorable.